Entry 1:
This record from OQMD describes a relaxed structure of GaBiPt2. The functional is GGA-PBE.

The space group is P6_3/mmc (No. 194) and the conventional cell measures 4.1846, 4.1846 and 10.2264 Å, with angles of 90.00, 90.00 and 120.00 degrees. The asymmetric unit holds Ga at (0.0000, 0.0000, 0.0000), Bi at (0.3333, 0.6667, 0.2500) and Pt at (0.3333, 0.6667, 0.5861).

The magnetization is 0.000 μB per atom. The final energy is -20.64 eV per formula unit. As for the crystal system: hexagonal.



Entry 2:
This record from OQMD describes a relaxed structure of Zr2GaBiPt2. The functional is GGA-PBE.

The space group is I-42d (No. 122) and the conventional cell measures 6.4002, 6.4002 and 12.7570 Å, with angles of 90.00, 90.00 and 90.00 degrees. The asymmetric unit holds Zr at (0.0000, 0.0000, 0.2448), Ga at (0.0000, 0.0000, 0.0000), Bi at (0.0000, 0.0000, 0.5000) and Pt at (0.2340, 0.7500, 0.1250).

The magnetization is 0.000 μB per atom. The final energy is -41.46 eV per formula unit. As for the crystal system: tetragonal.



Entry 3:
This record from OQMD describes a relaxed structure of PuGaBi. The functional is GGA-PBE.

The space group is F-43m (No. 216) and the conventional cell measures 6.9899, 6.9899 and 6.9899 Å, with angles of 90.00, 90.00 and 90.00 degrees. The asymmetric unit holds Pu at (0.0000, 0.0000, 0.0000), Ga at (0.2500, 0.2500, 0.7500) and Bi at (0.0000, 0.0000, 0.5000).

The magnetization is 1.964 μB per atom. As for the energy relative to the lowest polymorph listed for this composition: 0.000 eV per atom. The final energy is -21.65 eV per formula unit. As for the crystal system: cubic.



Entry 4:
This record from OQMD describes a relaxed structure of PuGaBi. The functional is GGA-PBE.

The space group is F-43m (No. 216) and the conventional cell measures 7.1928, 7.1928 and 7.1928 Å, with angles of 90.00, 90.00 and 90.00 degrees. The asymmetric unit holds Pu at (0.0000, 0.0000, 0.0000), Ga at (0.2500, 0.2500, 0.2500) and Bi at (0.2500, 0.2500, 0.7500).

The magnetization is 1.989 μB per atom. As for the energy relative to the lowest polymorph listed for this composition: 0.069 eV per atom. The final energy is -21.44 eV per formula unit. As for the crystal system: cubic.



Entry 5:
This record from OQMD describes a relaxed structure of Zr2GaBiS6. The functional is GGA-PBE.

The space group is P2_1/m (No. 11) and the conventional cell measures 11.2434, 3.6812 and 12.3558 Å, with angles of 90.00, 114.59 and 90.00 degrees. The asymmetric unit holds Zr at (0.0478, 0.2500, 0.1249), Zr at (0.2622, 0.2500, 0.7303), Ga at (0.1559, 0.7500, 0.3907), Bi at (0.4058, 0.2500, 0.1222), S at (0.0468, 0.2500, 0.7759), S at (0.1566, 0.7500, 0.5771), S at (0.1671, 0.7500, 0.0609), S at (0.2518, 0.2500, 0.3468), S at (0.3570, 0.7500, 0.8962) and S at (0.4795, 0.2500, 0.7085).

The magnetization is 0.000 μB per atom. The final energy is -59.00 eV per formula unit. As for the crystal system: monoclinic.



Entry 6:
This record from OQMD describes a relaxed structure of Sm2GaBi2. The functional is GGA-PBE.

The space group is Cmcm (No. 63) and the conventional cell measures 3.9442, 11.8298 and 13.0618 Å, with angles of 90.00, 90.00 and 90.00 degrees. The asymmetric unit holds Sm at (0.0000, 0.2086, 0.1138), Ga at (0.0000, 0.4379, 0.7500) and Bi at (0.0000, 0.0673, 0.6105).

The magnetization is 0.005 μB per atom. The final energy is -21.84 eV per formula unit. As for the crystal system: orthorhombic.



Entry 7:
This record from OQMD describes a relaxed structure of Sm5Ga2Bi2. The functional is GGA-PBE.

The space group is Cmce (No. 64) and the conventional cell measures 15.8854, 8.1725 and 8.1673 Å, with angles of 90.00, 90.00 and 90.00 degrees. The asymmetric unit holds Sm at (0.0000, 0.0000, 0.0000), Sm at (0.1288, 0.1721, 0.3296), Ga at (0.0000, 0.1221, 0.6209) and Bi at (0.2075, 0.0000, 0.0000).

The magnetization is 0.091 μB per atom. The final energy is -44.20 eV per formula unit. As for the crystal system: orthorhombic.



Entry 8:
This record from OQMD describes a relaxed structure of Ga2TcBi. The functional is GGA-PBE.

The space group is F-43m (No. 216) and the conventional cell measures 6.7619, 6.7619 and 6.7619 Å, with angles of 90.00, 90.00 and 90.00 degrees. The asymmetric unit holds Ga at (0.0000, 0.0000, 0.0000), Ga at (0.2500, 0.2500, 0.2500), Tc at (0.0000, 0.0000, 0.5000) and Bi at (0.2500, 0.2500, 0.7500).

The magnetization is 0.108 μB per atom. The final energy is -18.39 eV per formula unit. As for the crystal system: cubic.